Record 1
VASP calculation (PBE-GGA) on a geometry-optimized Na2ScGaBr6 structure.

a = 7.3819 Å, b = 7.3819 Å, c = 20.0407 Å
α = 90.00°, β = 90.00°, γ = 120.00°
Last column: nearest neighbours and their distance in Å.
Space group R3 (No. 146, hexagonal axes)
Unique sites:
Na 0.0000 0.0000 0.0000 [3 per cell]  6 Br 2.96-3.04
Na 0.0000 0.0000 0.4866 [3 per cell]  6 Br 3.00-3.09
Sc 0.0000 0.0000 0.6815 [3 per cell]  6 Br 2.66-2.71
Ga 0.0000 0.0000 0.1943 [3 per cell]  6 Br 3.01-3.28
Br 0.0031 0.7128 0.5983 [9 per cell]  1 Sc 2.71, 1 Na 2.96, 1 Ga 3.01
Br 0.0191 0.3109 0.7540 [9 per cell]  1 Sc 2.66

Computed properties:
E_form (uncorrected)   -14.05 eV/f.u.
E_tot   -3.609 eV/atom

***

Record 2
VASP calculation (PBE-GGA) on a geometry-optimized NaGaSeBr2 structure.

a = 5.4017 Å, b = 5.4017 Å, c = 4.9441 Å
α = 90.00°, β = 90.00°, γ = 90.00°
Last column: nearest neighbours and their distance in Å.
Space group P4/mmm (No. 123)
Unique sites:
Na 0.0000 0.0000 0.0000 [1 per cell]  8 Br 3.66, 4 Se 3.82
Ga 0.5000 0.5000 0.5000 [1 per cell]  2 Se 2.47, 4 Br 2.70
Se 0.5000 0.5000 0.0000 [1 per cell]  2 Ga 2.47
Br 0.0000 0.5000 0.5000 [2 per cell]  2 Ga 2.70

Computed properties:
E_form (uncorrected)   -3.15 eV/f.u.
Energy relative to the lowest polymorph listed for this composition   0.0 meV/atom
E_tot   -2.865 eV/atom

***

Record 3
VASP calculation (PBE-GGA) on a geometry-optimized NaGaSeBr2 structure.

a = 5.5926 Å, b = 5.5926 Å, c = 5.4007 Å
α = 90.00°, β = 90.00°, γ = 90.00°
Last column: nearest neighbours and their distance in Å.
Space group P4/mmm (No. 123)
Unique sites:
Na 0.0000 0.0000 0.0000 [1 per cell]  2 Se 2.70, 4 Br 2.80
Ga 0.5000 0.5000 0.5000 [1 per cell]  8 Br 3.89, 4 Se 3.95
Se 0.0000 0.0000 0.5000 [1 per cell]  2 Na 2.70
Br 0.0000 0.5000 0.0000 [2 per cell]  2 Na 2.80

Computed properties:
E_form (uncorrected)   -0.80 eV/f.u.
Energy relative to the lowest polymorph listed for this composition   470.3 meV/atom
E_tot   -2.395 eV/atom

***

Record 4
VASP calculation (PBE-GGA) on a geometry-optimized NaSmGa2Br6 structure.

a = 7.7345 Å, b = 7.7345 Å, c = 20.2304 Å
α = 90.00°, β = 90.00°, γ = 120.00°
Last column: nearest neighbours and their distance in Å.
Space group R3 (No. 146, hexagonal axes)
Unique sites:
Na 0.0000 0.0000 0.0000 [3 per cell]  6 Br 2.99-3.11
Sm 0.0000 0.0000 0.4941 [3 per cell]  6 Br 2.85-2.90
Ga 0.0000 0.0000 0.2974 [3 per cell]  6 Br 3.10-3.23
Ga 0.0000 0.0000 0.8005 [3 per cell]  6 Br 3.13-3.18
Br 0.0529 0.3377 0.5679 [9 per cell]  1 Sm 2.85, 1 Na 3.11, 1 Ga 3.13
Br 0.0563 0.6916 0.0699 [9 per cell]  1 Sm 2.90, 1 Na 2.99, 2 Ga 3.10-3.18

Computed properties:
E_form (uncorrected)   -12.76 eV/f.u.
E_tot   -3.489 eV/atom